KRb2O | PBE | optimized geometry

The structure in CIF format:
```
data_KRb2O
_symmetry_space_group_name_H-M 'R -3 m'
_symmetry_Int_Tables_number 166
_symmetry_space_group_name_Hall '-R 3 2"'
_cell_length_a 4.3108
_cell_length_b 4.3108
_cell_length_c 36.4350
_cell_angle_alpha 90.00
_cell_angle_beta 90.00
_cell_angle_gamma 120.00
loop_
_atom_site_label
_atom_site_type_symbol
_atom_site_fract_x
_atom_site_fract_y
_atom_site_fract_z
K1 K 0.0000 0.0000 0.0000
Rb1 Rb 0.0000 0.0000 0.1305
O1 O 0.0000 0.0000 0.5000
```

Crystal system ... trigonal
Total magnetization ... 0.1 μB/f.u.
Raw total energy ... -2.63 eV per atom

***

K3Rb7O | PBE | optimized geometry

The structure in CIF format:
```
data_K3Rb7O
_symmetry_space_group_name_H-M 'C 1 m 1'
_symmetry_Int_Tables_number 8
_symmetry_space_group_name_Hall 'C -2y'
_cell_length_a 11.0273
_cell_length_b 12.7455
_cell_length_c 12.2044
_cell_angle_alpha 90.00
_cell_angle_beta 116.32
_cell_angle_gamma 90.00
loop_
_atom_site_label
_atom_site_type_symbol
_atom_site_fract_x
_atom_site_fract_y
_atom_site_fract_z
K1 K 0.0000 0.0000 0.0000
K2 K 0.3965 0.1800 0.1318
Rb1 Rb 0.0263 0.3421 0.8114
Rb2 Rb 0.1265 0.5000 0.5807
Rb3 Rb 0.1787 0.0000 0.6953
Rb4 Rb 0.2760 0.1565 0.4589
Rb5 Rb 0.3026 0.5000 0.2706
O1 O 0.4011 0.0000 0.6357
```

Crystal system ... monoclinic
Total magnetization ... 0.0 μB/f.u.
Raw total energy ... -1.63 eV per atom

***

KRbO3 | PBE | optimized geometry

The structure in CIF format:
```
data_KRbO3
_symmetry_space_group_name_H-M 'P m -3 m'
_symmetry_Int_Tables_number 221
_symmetry_space_group_name_Hall '-P 4 2 3'
_cell_length_a 4.7402
_cell_length_b 4.7402
_cell_length_c 4.7402
_cell_angle_alpha 90.00
_cell_angle_beta 90.00
_cell_angle_gamma 90.00
loop_
_atom_site_label
_atom_site_type_symbol
_atom_site_fract_x
_atom_site_fract_y
_atom_site_fract_z
K1 K 0.0000 0.0000 0.0000
Rb1 Rb 0.5000 0.5000 0.5000
O1 O 0.0000 0.0000 0.5000
```

Crystal system ... cubic
Total magnetization ... 4.0 μB/f.u.
Raw total energy ... -3.27 eV per atom

***

K2Rb2O | PBE | optimized geometry

The structure in CIF format:
```
data_K2Rb2O
_symmetry_space_group_name_H-M 'I 4/m m m'
_symmetry_Int_Tables_number 139
_symmetry_space_group_name_Hall '-I 4 2'
_cell_length_a 4.7751
_cell_length_b 4.7751
_cell_length_c 24.5936
_cell_angle_alpha 90.00
_cell_angle_beta 90.00
_cell_angle_gamma 90.00
loop_
_atom_site_label
_atom_site_type_symbol
_atom_site_fract_x
_atom_site_fract_y
_atom_site_fract_z
K1 K 0.0000 0.5000 0.2500
Rb1 Rb 0.0000 0.0000 0.0672
O1 O 0.0000 0.0000 0.5000
```

Crystal system ... tetragonal
Total magnetization ... 0.5 μB/f.u.
Raw total energy ... -1.70 eV per atom

***

K3RbO4 | PBE | optimized geometry

The structure in CIF format:
```
data_K3RbO4
_symmetry_space_group_name_H-M 'C 1 2/m 1'
_symmetry_Int_Tables_number 12
_symmetry_space_group_name_Hall '-C 2y'
_cell_length_a 15.7082
_cell_length_b 4.0281
_cell_length_c 5.3719
_cell_angle_alpha 90.00
_cell_angle_beta 109.92
_cell_angle_gamma 90.00
loop_
_atom_site_label
_atom_site_type_symbol
_atom_site_fract_x
_atom_site_fract_y
_atom_site_fract_z
K1 K 0.0000 0.0000 0.0000
K2 K 0.2061 0.0000 0.7064
Rb1 Rb 0.0000 0.5000 0.5000
O1 O 0.1262 0.5000 0.2678
O2 O 0.1264 0.5000 0.9838
```

Crystal system ... monoclinic
Total magnetization ... 0.0 μB/f.u.
Raw total energy ... -3.92 eV per atom

***

K5Rb12O2 | PBE | optimized geometry

The structure in CIF format:
```
data_K5Rb12O2
_symmetry_space_group_name_H-M 'C 1 2/m 1'
_symmetry_Int_Tables_number 12
_symmetry_space_group_name_Hall '-C 2y'
_cell_length_a 26.3373
_cell_length_b 9.2804
_cell_length_c 11.7006
_cell_angle_alpha 90.00
_cell_angle_beta 113.44
_cell_angle_gamma 90.00
loop_
_atom_site_label
_atom_site_type_symbol
_atom_site_fract_x
_atom_site_fract_y
_atom_site_fract_z
K1 K 0.0000 0.0000 0.0000
K2 K 0.2435 0.0000 0.0006
K3 K 0.2452 0.0000 0.4881
Rb1 Rb 0.0102 0.5000 0.3505
Rb2 Rb 0.0124 0.0000 0.3620
Rb3 Rb 0.1124 0.2525 0.6342
Rb4 Rb 0.1386 0.2678 0.1468
O1 O 0.0000 0.2514 0.5000
```

Crystal system ... monoclinic
Total magnetization ... 0.0 μB/f.u.
Raw total energy ... -1.68 eV per atom

***

KRb7O3 | PBE | optimized geometry

The structure in CIF format:
```
data_KRb7O3
_symmetry_space_group_name_H-M 'P 3 m 1'
_symmetry_Int_Tables_number 156
_symmetry_space_group_name_Hall 'P 3 -2"'
_cell_length_a 8.4685
_cell_length_b 8.4685
_cell_length_c 7.8989
_cell_angle_alpha 90.00
_cell_angle_beta 90.00
_cell_angle_gamma 120.00
loop_
_atom_site_label
_atom_site_type_symbol
_atom_site_fract_x
_atom_site_fract_y
_atom_site_fract_z
K1 K 0.0000 0.0000 0.0000
Rb1 Rb 0.0298 0.5149 0.9785
Rb2 Rb 0.3039 0.1519 0.3497
Rb3 Rb 0.3333 0.6667 0.3490
O1 O 0.1654 0.3307 0.1633
```

Crystal system ... trigonal
Total magnetization ... 0.0 μB/f.u.
Raw total energy ... -2.85 eV per atom

***

KRb3O4 | PBE | optimized geometry

The structure in CIF format:
```
data_KRb3O4
_symmetry_space_group_name_H-M 'I m m m'
_symmetry_Int_Tables_number 71
_symmetry_space_group_name_Hall '-I 2 2'
_cell_length_a 4.3254
_cell_length_b 5.2244
_cell_length_c 15.1060
_cell_angle_alpha 90.00
_cell_angle_beta 90.00
_cell_angle_gamma 90.00
loop_
_atom_site_label
_atom_site_type_symbol
_atom_site_fract_x
_atom_site_fract_y
_atom_site_fract_z
K1 K 0.0000 0.0000 0.0000
Rb1 Rb 0.0000 0.0000 0.5000
Rb2 Rb 0.0000 0.5000 0.2988
O1 O 0.0000 0.3538 0.1233
```

Crystal system ... orthorhombic
Total magnetization ... 0.0 μB/f.u.
Raw total energy ... -3.89 eV per atom

***

K5Rb3O2 | PBE | optimized geometry

The structure in CIF format:
```
data_K5Rb3O2
_symmetry_space_group_name_H-M 'C 1 2/c 1'
_symmetry_Int_Tables_number 15
_symmetry_space_group_name_Hall '-C 2yc'
_cell_length_a 19.5638
_cell_length_b 12.6212
_cell_length_c 8.6621
_cell_angle_alpha 90.00
_cell_angle_beta 113.12
_cell_angle_gamma 90.00
loop_
_atom_site_label
_atom_site_type_symbol
_atom_site_fract_x
_atom_site_fract_y
_atom_site_fract_z
K1 K 0.0000 0.0005 0.2500
K2 K 0.1235 0.2972 0.1170
K3 K 0.2137 0.5003 0.4500
Rb1 Rb 0.0000 0.4999 0.2500
Rb2 Rb 0.1256 0.2911 0.6191
O1 O 0.1266 0.4977 0.1224
```

Crystal system ... monoclinic
Total magnetization ... 0.0 μB/f.u.
Raw total energy ... -2.39 eV per atom

***

K3Rb2O | PBE | optimized geometry

The structure in CIF format:
```
data_K3Rb2O
_symmetry_space_group_name_H-M 'C m c m'
_symmetry_Int_Tables_number 63
_symmetry_space_group_name_Hall '-C 2c 2'
_cell_length_a 16.8696
_cell_length_b 11.6930
_cell_length_c 7.6070
_cell_angle_alpha 90.00
_cell_angle_beta 90.00
_cell_angle_gamma 90.00
loop_
_atom_site_label
_atom_site_type_symbol
_atom_site_fract_x
_atom_site_fract_y
_atom_site_fract_z
K1 K 0.0000 0.2289 0.2500
K2 K 0.0950 0.5000 0.0000
Rb1 Rb 0.1652 0.1360 0.7500
O1 O 0.0000 0.4387 0.2500
```

Crystal system ... orthorhombic
Total magnetization ... 0.0 μB/f.u.
Raw total energy ... -2.18 eV per atom

***

K8RbO2 | PBE | optimized geometry

The structure in CIF format:
```
data_K8RbO2
_symmetry_space_group_name_H-M 'C 1 2/m 1'
_symmetry_Int_Tables_number 12
_symmetry_space_group_name_Hall '-C 2y'
_cell_length_a 9.5629
_cell_length_b 13.0736
_cell_length_c 8.9910
_cell_angle_alpha 90.00
_cell_angle_beta 94.16
_cell_angle_gamma 90.00
loop_
_atom_site_label
_atom_site_type_symbol
_atom_site_fract_x
_atom_site_fract_y
_atom_site_fract_z
K1 K 0.1164 0.2013 0.2329
K2 K 0.1232 0.5000 0.7136
K3 K 0.1536 0.0000 0.9195
Rb1 Rb 0.0000 0.0000 0.5000
O1 O 0.1102 0.0000 0.2099
```

Crystal system ... monoclinic
Total magnetization ... 0.0 μB/f.u.
Raw total energy ... -2.35 eV per atom

***

K3Rb2O | PBE | optimized geometry

The structure in CIF format:
```
data_K3Rb2O
_symmetry_space_group_name_H-M 'C m c m'
_symmetry_Int_Tables_number 63
_symmetry_space_group_name_Hall '-C 2c 2'
_cell_length_a 4.3379
_cell_length_b 32.6977
_cell_length_c 9.4223
_cell_angle_alpha 90.00
_cell_angle_beta 90.00
_cell_angle_gamma 90.00
loop_
_atom_site_label
_atom_site_type_symbol
_atom_site_fract_x
_atom_site_fract_y
_atom_site_fract_z
K1 K 0.0000 0.0951 0.0233
K2 K 0.0000 0.3543 0.2500
Rb1 Rb 0.0000 0.2805 0.7500
Rb2 Rb 0.0000 0.4649 0.2500
O1 O 0.0000 0.0945 0.7500
```

Crystal system ... orthorhombic
Total magnetization ... 0.0 μB/f.u.
Raw total energy ... -2.19 eV per atom

***

K3Rb6O | PBE | optimized geometry

The structure in CIF format:
```
data_K3Rb6O
_symmetry_space_group_name_H-M 'P 1 21/c 1'
_symmetry_Int_Tables_number 14
_symmetry_space_group_name_Hall '-P 2ybc'
_cell_length_a 8.9828
_cell_length_b 11.2897
_cell_length_c 16.3811
_cell_angle_alpha 90.00
_cell_angle_beta 121.78
_cell_angle_gamma 90.00
loop_
_atom_site_label
_atom_site_type_symbol
_atom_site_fract_x
_atom_site_fract_y
_atom_site_fract_z
K1 K 0.0000 0.0000 0.0000
K2 K 0.3097 0.0037 0.8099
Rb1 Rb 0.2717 0.6728 0.0003
Rb2 Rb 0.2895 0.0179 0.3017
Rb3 Rb 0.2965 0.1762 0.5188
O1 O 0.5000 0.0000 0.5000
```

Crystal system ... monoclinic
Total magnetization ... 0.0 μB/f.u.
Raw total energy ... -1.67 eV per atom

***

K2RbO2 | PBE | optimized geometry

The structure in CIF format:
```
data_K2RbO2
_symmetry_space_group_name_H-M 'R -3 m'
_symmetry_Int_Tables_number 166
_symmetry_space_group_name_Hall '-R 3 2"'
_cell_length_a 4.2130
_cell_length_b 4.2130
_cell_length_c 26.8094
_cell_angle_alpha 90.00
_cell_angle_beta 90.00
_cell_angle_gamma 120.00
loop_
_atom_site_label
_atom_site_type_symbol
_atom_site_fract_x
_atom_site_fract_y
_atom_site_fract_z
K1 K 0.0000 0.0000 0.2323
Rb1 Rb 0.0000 0.0000 0.0000
O1 O 0.0000 0.0000 0.4027
```

Crystal system ... trigonal
Total magnetization ... 1.0 μB/f.u.
Raw total energy ... -3.47 eV per atom

***

K2Rb7O2 | PBE | optimized geometry

The structure in CIF format:
```
data_K2Rb7O2
_symmetry_space_group_name_H-M 'C 1 2/m 1'
_symmetry_Int_Tables_number 12
_symmetry_space_group_name_Hall '-C 2y'
_cell_length_a 9.2350
_cell_length_b 19.9256
_cell_length_c 8.2922
_cell_angle_alpha 90.00
_cell_angle_beta 112.96
_cell_angle_gamma 90.00
loop_
_atom_site_label
_atom_site_type_symbol
_atom_site_fract_x
_atom_site_fract_y
_atom_site_fract_z
K1 K 0.0000 0.1847 0.0000
Rb1 Rb 0.0000 0.0000 0.5000
Rb2 Rb 0.1588 0.5000 0.7256
Rb3 Rb 0.1689 0.3737 0.3230
O1 O 0.1728 0.5000 0.4102
```

Crystal system ... monoclinic
Total magnetization ... 0.0 μB/f.u.
Raw total energy ... -2.19 eV per atom

***

KRb3O2 | PBE | optimized geometry

The structure in CIF format:
```
data_KRb3O2
_symmetry_space_group_name_H-M 'C 1 2/m 1'
_symmetry_Int_Tables_number 12
_symmetry_space_group_name_Hall '-C 2y'
_cell_length_a 16.2009
_cell_length_b 4.4371
_cell_length_c 10.4529
_cell_angle_alpha 90.00
_cell_angle_beta 113.87
_cell_angle_gamma 90.00
loop_
_atom_site_label
_atom_site_type_symbol
_atom_site_fract_x
_atom_site_fract_y
_atom_site_fract_z
K1 K 0.0743 0.0000 0.1582
Rb1 Rb 0.0494 0.5000 0.7467
Rb2 Rb 0.1715 0.0000 0.5126
Rb3 Rb 0.2090 0.5000 0.0944
O1 O 0.1135 0.0000 0.9208
O2 O 0.1406 0.5000 0.3310
```

Crystal system ... monoclinic
Total magnetization ... 0.1 μB/f.u.
Raw total energy ... -3.26 eV per atom

***

K2Rb2O | PBE | optimized geometry

The structure in CIF format:
```
data_K2Rb2O
_symmetry_space_group_name_H-M 'I 4/m m m'
_symmetry_Int_Tables_number 139
_symmetry_space_group_name_Hall '-I 4 2'
_cell_length_a 4.9652
_cell_length_b 4.9652
_cell_length_c 23.4382
_cell_angle_alpha 90.00
_cell_angle_beta 90.00
_cell_angle_gamma 90.00
loop_
_atom_site_label
_atom_site_type_symbol
_atom_site_fract_x
_atom_site_fract_y
_atom_site_fract_z
K1 K 0.0000 0.0000 0.0671
Rb1 Rb 0.0000 0.5000 0.2500
O1 O 0.0000 0.0000 0.5000
```

Crystal system ... tetragonal
Total magnetization ... 0.3 μB/f.u.
Raw total energy ... -1.52 eV per atom

***

K4Rb2O | PBE | optimized geometry

The structure in CIF format:
```
data_K4Rb2O
_symmetry_space_group_name_H-M 'C m m m'
_symmetry_Int_Tables_number 65
_symmetry_space_group_name_Hall '-C 2 2'
_cell_length_a 8.3419
_cell_length_b 22.9435
_cell_length_c 4.3087
_cell_angle_alpha 90.00
_cell_angle_beta 90.00
_cell_angle_gamma 90.00
loop_
_atom_site_label
_atom_site_type_symbol
_atom_site_fract_x
_atom_site_fract_y
_atom_site_fract_z
K1 K 0.0000 0.1131 0.0000
K2 K 0.2074 0.0000 0.5000
Rb1 Rb 0.0000 0.3076 0.5000
O1 O 0.0000 0.0000 0.0000
```

Crystal system ... orthorhombic
Total magnetization ... 0.0 μB/f.u.
Raw total energy ... -2.03 eV per atom

***

K2Rb2O | PBE | optimized geometry

The structure in CIF format:
```
data_K2Rb2O
_symmetry_space_group_name_H-M 'P 4/m b m'
_symmetry_Int_Tables_number 127
_symmetry_space_group_name_Hall '-P 4 2ab'
_cell_length_a 7.8213
_cell_length_b 7.8213
_cell_length_c 8.2210
_cell_angle_alpha 90.00
_cell_angle_beta 90.00
_cell_angle_gamma 90.00
loop_
_atom_site_label
_atom_site_type_symbol
_atom_site_fract_x
_atom_site_fract_y
_atom_site_fract_z
K1 K 0.2364 0.2636 0.0000
Rb1 Rb 0.1966 0.6966 0.5000
O1 O 0.0000 0.0000 0.0000
```

Crystal system ... tetragonal
Total magnetization ... 0.0 μB/f.u.
Raw total energy ... -2.10 eV per atom

***

KRb3O2 | PBE | optimized geometry

The structure in CIF format:
```
data_KRb3O2
_symmetry_space_group_name_H-M 'C 1 2/m 1'
_symmetry_Int_Tables_number 12
_symmetry_space_group_name_Hall '-C 2y'
_cell_length_a 15.9990
_cell_length_b 4.7492
_cell_length_c 8.3706
_cell_angle_alpha 90.00
_cell_angle_beta 100.70
_cell_angle_gamma 90.00
loop_
_atom_site_label
_atom_site_type_symbol
_atom_site_fract_x
_atom_site_fract_y
_atom_site_fract_z
K1 K 0.0621 0.0000 0.1788
Rb1 Rb 0.0578 0.5000 0.6946
Rb2 Rb 0.1825 0.0000 0.5552
Rb3 Rb 0.1875 0.5000 0.0676
O1 O 0.1173 0.0000 0.8821
O2 O 0.1247 0.5000 0.3664
```

Crystal system ... monoclinic
Total magnetization ... 0.1 μB/f.u.
Raw total energy ... -3.25 eV per atom